[1]
DFT (PBE-GGA) results for a geometry-optimized Pr3Nd4Cd2 structure.

Its magnetic moment is 0.0 μB per formula unit. For the calculated formation energy, the calculation gives -0.110 eV/atom. The total energy is -4.0251 eV per atom. The calculation puts the density of states at the Fermi level at 12.14 states/eV/f.u.

```
Pr3Nd4Cd2
1.0
6.333 -2.770 0.000
6.333 2.770 0.000
-2.235 0.000 8.444
Pr Nd Cd
3 4 2
Cartesian
0.000 0.000 0.000
3.906 0.000 5.530
6.524 0.000 2.914
0.104 0.000 5.556
4.076 0.000 0.367
6.355 0.000 8.076
10.327 0.000 2.888
1.943 0.000 2.745
8.488 0.000 5.699
```

=====

[2]
DFT (PBE-GGA) results for a geometry-optimized Pr4Nd8Cd structure.

Its magnetic moment is 0.0 μB per formula unit. For the calculated formation energy, the calculation gives 0.353 eV/atom. The total energy is -4.1223 eV per atom. The calculation puts the density of states at the Fermi level at 23.69 states/eV/f.u.

```
Pr4Nd8Cd
1.0
5.893 3.403 3.910
-5.893 3.403 3.910
0.000 -6.805 3.910
Pr Nd Cd
4 8 1
Cartesian
0.000 0.000 0.000
-2.947 -1.701 3.910
-2.947 1.701 7.820
0.000 3.403 3.910
0.000 -3.412 3.893
-2.954 1.706 3.893
0.000 0.000 2.858
-2.954 -1.706 7.837
2.954 1.706 3.893
0.000 0.000 8.873
2.954 -1.706 7.837
0.000 3.412 7.837
0.000 0.000 5.865
```